SrTlNF2: optimized geometry, PBE.

Output
The calculation puts the spin magnetization at 0.0 Bohr magnetons per cell. As for the density of states at the Fermi level: 0.33 states/eV/atom. As for the formation energy without anion corrections: -1.2610 eV per atom.

Cell lengths 4.6403, 4.6403, 4.1676 Å; angles 90.00, 90.00, 90.00 degrees
With the nearest neighbours (Å) after each atom.
Space group P4/mmm (No. 123)
Inequivalent atoms, fractional coordinates:
1 Sr 0.0000 0.0000 0.0000 x1  8 F 3.12, 4 N 3.28
2 Tl 0.5000 0.5000 0.5000 x1  2 N 2.08, 4 F 2.32
3 N 0.5000 0.5000 0.0000 x1  2 Tl 2.08
4 F 0.0000 0.5000 0.5000 x2  2 Tl 2.32